Density functional theory data (GGA-PBE) for crystalline V2CoRuI at its relaxed geometry.

Calculated values
M_tot   0.40 μB/atom
Formation energy without anion corrections   1566.2 meV/atom
Uncorrected energy   -5.67 eV/atom

Cell: 4.519 5.295 4.519 Å, 90.00 90.00 90.00°
Element x y z (fractional)
I (0.000, 0.500, 0.000)
V (0.500, 0.000, 0.000)
Ru (0.000, 0.000, 0.000)
Co (0.500, 0.500, 0.500)
V (0.000, 0.000, 0.500)